# LaTcB3 (PBE, optimized geometry)
# Total DFT energy (no corrections): -21.1 eV/cell
# Density: 5.44 g/cm³
data_LaTcB3
_symmetry_space_group_name_H-M 'P m -3 m'
_symmetry_Int_Tables_number 221
_symmetry_space_group_name_Hall '-P 4 2 3'
_cell_length_a 4.348
_cell_length_b 4.348
_cell_length_c 4.348
_cell_angle_alpha 90.00
_cell_angle_beta 90.00
_cell_angle_gamma 90.00
loop_
_atom_site_label
_atom_site_fract_x
_atom_site_fract_y
_atom_site_fract_z
_atom_site_occupancy
La1 0.000 0.000 0.000 1
Tc1 0.500 0.500 0.500 1
B1 0.000 0.000 0.500 1